LiSiAg2 | PBE-GGA | optimized geometry

Cell lengths 9.202, 9.202, 9.202 Å; angles 18.12, 18.12, 18.12 degrees
Element x y z (fractional)
Li1 0.000 0.000 0.000
Si1 0.255 0.255 0.255
Ag1 0.508 0.508 0.508
Ag2 0.751 0.751 0.751

crystal system: trigonal
final energy: -3.226 eV/atom



Li2SiAg2 | PBE-GGA | optimized geometry

Cell lengths 5.042, 5.042, 8.093 Å; angles 99.77, 99.77, 50.69 degrees
Element x y z (fractional)
Li1 0.048 0.048 0.354
Li2 0.162 0.162 0.054
Li3 0.838 0.838 0.946
Li4 0.952 0.952 0.646
Si1 0.240 0.240 0.747
Si2 0.760 0.760 0.253
Ag1 0.338 0.338 0.449
Ag2 0.468 0.468 0.162
Ag3 0.532 0.532 0.838
Ag4 0.662 0.662 0.551

crystal system: monoclinic
offset from the most stable computed form: 0 meV/atom



Li6SiAg | PBE-GGA | optimized geometry

Cell lengths 4.593, 5.675, 5.675 Å; angles 60.17, 90.00, 90.00 degrees
Element x y z (fractional)
Li1 0.000 0.000 0.000
Li2 0.000 0.000 0.541
Li3 0.000 0.541 0.000
Li4 0.500 0.348 0.348
Li5 0.500 0.348 0.841
Li6 0.500 0.841 0.348
Si1 0.500 0.846 0.846
Ag1 0.000 0.514 0.514

crystal system: orthorhombic
final energy: -2.629 eV/atom



Li2SiAg4 | PBE-GGA | optimized geometry

Cell lengths 5.419, 5.419, 5.419 Å; angles 115.38, 115.38, 98.21 degrees
Element x y z (fractional)
Li1 0.000 0.500 0.500
Li2 0.500 0.000 0.500
Si1 0.000 0.000 0.000
Ag1 0.000 0.000 0.500
Ag2 0.000 0.500 0.000
Ag3 0.500 0.000 0.000
Ag4 0.500 0.500 0.500

crystal system: tetragonal
final energy: -3.007 eV/atom



Li3Si3Ag2 | PBE-GGA | optimized geometry

Cell lengths 6.073, 6.073, 6.601 Å; angles 90.00, 90.00, 90.00 degrees
Element x y z (fractional)
Li1 0.000 0.000 0.000
Li2 0.000 0.500 0.500
Li3 0.250 0.750 0.250
Li4 0.500 0.000 0.500
Li5 0.500 0.500 0.000
Li6 0.750 0.250 0.750
Si1 0.250 0.250 0.250
Si2 0.250 0.250 0.750
Si3 0.250 0.750 0.750
Si4 0.750 0.250 0.250
Si5 0.750 0.750 0.250
Si6 0.750 0.750 0.750
Ag1 0.000 0.000 0.500
Ag2 0.000 0.500 0.000
Ag3 0.500 0.000 0.000
Ag4 0.500 0.500 0.500

crystal system: tetragonal
final energy: -3.473 eV/atom



Li8Si2Ag | PBE-GGA | optimized geometry

Cell lengths 7.635, 7.635, 7.635 Å; angles 146.40, 133.06, 58.96 degrees
Element x y z (fractional)
Li1 0.110 0.340 0.770
Li2 0.176 0.176 0.000
Li3 0.291 0.000 0.291
Li4 0.430 0.660 0.770
Li5 0.570 0.340 0.230
Li6 0.709 0.000 0.709
Li7 0.824 0.824 0.000
Li8 0.890 0.660 0.230
Si1 0.318 0.818 0.500
Si2 0.682 0.182 0.500
Ag1 0.000 0.500 0.500

crystal system: orthorhombic
final energy: -2.806 eV/atom